# Cr2O3 | Alexandria | PBE+U | relaxed
data_Cr2O3
_cell_length_a 5.1482
_cell_length_b 5.1482
_cell_length_c 14.3764
_cell_angle_alpha 90.00
_cell_angle_beta 90.00
_cell_angle_gamma 120.00
_space_group_name_H-M_alt 'R -3'
_space_group_IT_number 148
_space_group_name_Hall '-R 3'
loop_
_atom_site_label
_atom_site_fract_x
_atom_site_fract_y
_atom_site_fract_z
Cr1 0.0000 0.0000 0.0000
Cr2 0.0000 0.0000 0.1870
Cr3 0.0000 0.0000 0.5000
O1 0.0164 0.3080 0.0940
# Size of the total moment ... 1.20 μB per atom
# V ... 329.98 Å³/cell
# Total energy ... -236.36 eV/cell